This record from the Alexandria database describes a relaxed structure of CrSIO2. The functional is PBE with a Hubbard U.

POSCAR file:
```
CrSIO2
1.0
3.785 0.000 0.000
0.000 3.785 0.000
0.000 0.000 7.186
Cr S I O
1 1 1 2
direct
0.000 0.000 0.000
0.500 0.500 0.500
0.500 0.500 0.000
0.000 0.500 0.500
0.500 0.000 0.500
```

N(E_F) = 1.686 states/eV per cell
E = -4.45 eV/atom
Space-group type = P4/mmm, No. 123